No. 1
Compound: HoRhS
Source: the Alexandria database
Functional: PBE
Structure: optimized geometry

The calculation puts the total DFT energy (no corrections) at -19.8 eV/cell. For the density, the calculation gives 9.33 g/cm3. For the uncorrected formation energy, the calculation gives -1.25 eV per atom.

The space group is P3m1 (No. 156) and the conventional cell measures 4.1477, 4.1477 and 3.5814 Å, with angles of 90.00, 90.00 and 120.00 degrees. Symmetry generates all atoms from Ho at (0.0000, 0.0000, 0.0000), Rh at (0.3333, 0.6667, 0.5010) and S at (0.6667, 0.3333, 0.4982).

---

No. 2
Compound: ReMo2Se
Source: the Alexandria database
Functional: PBE
Structure: optimized geometry

The calculation puts the total DFT energy (no corrections) at -71.0 eV/cell. For the density, the calculation gives 12.21 g/cm3. For the uncorrected formation energy, the calculation gives 0.53 eV per atom.

The space group is I4/mmm (No. 139) and the conventional cell measures 3.7664, 3.7664 and 8.7663 Å, with angles of 90.00, 90.00 and 90.00 degrees. Symmetry generates all atoms from Re at (0.0000, 0.0000, 0.0000), Mo at (0.0000, 0.5000, 0.2500) and Se at (0.0000, 0.0000, 0.5000).

---

No. 3
Compound: TbNd3Dy7
Source: the Alexandria database
Functional: PBE
Structure: optimized geometry

The calculation puts the total DFT energy (no corrections) at -96.5 eV/cell. For the density, the calculation gives 7.78 g/cm3. Its formation energy is 264 meV per atom.

The space group is Immm (No. 71) and the conventional cell measures 5.8609, 11.1862 and 11.2523 Å, with angles of 90.00, 90.00 and 90.00 degrees. Symmetry generates all atoms from Tb at (0.0000, 0.0000, 0.0000), Nd at (0.0000, 0.0000, 0.5000), Nd at (0.0000, 0.5000, 0.2126), Dy at (0.0000, 0.2062, 0.3030), Dy at (0.0000, 0.2941, 0.0000) and Dy at (0.0000, 0.5000, 0.5000).

---

No. 4
Compound: Er3InHg4
Source: the Alexandria database
Functional: PBE
Structure: optimized geometry

The calculation puts the total DFT energy (no corrections) at -37.4 eV/cell. For the density, the calculation gives 10.83 g/cm3. Its formation energy is -135 meV per atom.

The space group is Immm (No. 71) and the conventional cell measures 3.4036, 10.4048 and 12.2829 Å, with angles of 90.00, 90.00 and 90.00 degrees. Symmetry generates all atoms from Er at (0.0000, 0.0000, 0.0000), Er at (0.0000, 0.5000, 0.2543), In at (0.0000, 0.0000, 0.5000) and Hg at (0.0000, 0.2364, 0.1354).

---

Copy entry 2 word for word.
Compound: ReMo2Se
Source: the Alexandria database
Functional: PBE
Structure: optimized geometry

The calculation puts the total DFT energy (no corrections) at -71.0 eV/cell. For the density, the calculation gives 12.21 g/cm3. For the uncorrected formation energy, the calculation gives 0.53 eV per atom.

The space group is I4/mmm (No. 139) and the conventional cell measures 3.7664, 3.7664 and 8.7663 Å, with angles of 90.00, 90.00 and 90.00 degrees. Symmetry generates all atoms from Re at (0.0000, 0.0000, 0.0000), Mo at (0.0000, 0.5000, 0.2500) and Se at (0.0000, 0.0000, 0.5000).

---

Among the records above, which one has the lowest total DFT energy (no corrections)?
TbNd3Dy7

---

Which of these has the highest total DFT energy (no corrections)?
HoRhS

---

What is the formula in the first record?
HoRhS